Model P:
{"formula": "InPd15", "functional": "PBE-GGA", "state": "relaxed", "cell": [[-3.4516, -1.3216, -1.2878], [11.3653, -41.2608, 11.8818], [-1.5485, 0.5938, 3.5433]], "species": ["Pd", "Pd", "Pd", "Pd", "Pd", "Pd", "Pd", "Pd", "Pd", "Pd", "Pd", "Pd", "Pd", "Pd", "Pd", "Pd", "Pd", "Pd", "Pd", "Pd", "Pd", "Pd", "Pd", "In", "In", "Pd", "Pd", "Pd", "Pd", "Pd", "Pd", "Pd"], "frac_coords": [[0.0000, 0.4780, 0.7500], [0.5000, 0.7421, 0.2500], [0.5000, 0.3019, 0.2500], [0.5000, 0.4780, 0.2500], [0.0000, 0.6541, 0.7500], [0.5000, 0.5220, 0.7500], [0.5000, 0.6981, 0.7500], [0.0000, 0.7861, 0.2500], [0.5000, 0.6541, 0.2500], [0.5000, 0.1691, 0.7500], [0.0000, 0.5220, 0.2500], [0.0000, 0.4340, 0.2500], [0.5000, 0.7861, 0.7500], [0.0000, 0.3459, 0.2500], [0.5000, 0.3899, 0.2500], [0.0000, 0.3019, 0.7500], [0.5000, 0.2579, 0.7500], [0.5000, 0.4339, 0.7500], [0.5000, 0.3459, 0.7500], [0.5000, 0.5661, 0.2500], [0.0000, 0.5660, 0.7500], [0.5000, 0.6101, 0.7500], [0.0000, 0.3899, 0.7500], [0.0000, 0.1690, 0.2500], [0.0000, 0.8310, 0.7500], [0.0000, 0.6981, 0.2500], [0.0000, 0.2581, 0.2500], [0.0000, 0.6101, 0.2500], [0.5000, 0.2139, 0.2500], [0.0000, 0.7419, 0.7500], [0.5000, 0.8309, 0.2500], [0.0000, 0.2139, 0.7500]]}



Model Q:
{"formula": "InPd15", "functional": "PBE-GGA", "state": "relaxed", "cell": [[-1.7914, 2.1337, -0.1316], [-5.9655, -5.0100, 0.0391], [-0.9059, 1.3506, 34.4320]], "species": ["Pd", "Pd", "Pd", "Pd", "Pd", "Pd", "Pd", "Pd", "Pd", "Pd", "Pd", "Pd", "Pd", "Pd", "Pd", "Pd", "Pd", "Pd", "Pd", "Pd", "Pd", "Pd", "Pd", "Pd", "In", "Pd", "Pd", "Pd", "Pd", "In", "Pd", "Pd"], "frac_coords": [[0.2501, 0.8742, 0.4798], [0.2501, 0.3748, 0.3990], [0.7499, 0.6274, 0.6822], [0.7499, 0.1226, 0.6821], [0.2498, 0.3730, 0.2349], [0.7501, 0.1249, 0.3592], [0.7500, 0.1246, 0.2774], [0.2502, 0.3755, 0.8023], [0.7501, 0.6251, 0.3581], [0.2501, 0.3757, 0.4800], [0.2500, 0.8754, 0.7226], [0.7500, 0.1249, 0.6009], [0.7500, 0.6252, 0.2779], [0.2500, 0.8747, 0.5602], [0.7498, 0.6245, 0.1978], [0.7500, 0.6252, 0.6010], [0.2500, 0.3749, 0.6419], [0.7501, 0.6247, 0.4391], [0.2499, 0.8769, 0.2347], [0.2500, 0.8751, 0.6408], [0.7500, 0.6243, 0.5200], [0.7500, 0.1258, 0.5202], [0.2500, 0.3748, 0.7221], [0.7501, 0.1233, 0.7653], [0.7496, 0.1254, 0.1946], [0.2501, 0.8751, 0.3991], [0.2500, 0.3725, 0.3178], [0.7501, 0.1253, 0.4398], [0.7501, 0.6268, 0.7651], [0.2502, 0.8747, 0.8054], [0.2500, 0.3753, 0.5609], [0.2500, 0.8775, 0.3179]]}



Model R:
{"formula": "InPd15", "functional": "PBE-GGA", "state": "relaxed", "cell": [[2.8140, 0.0000, 0.0000], [-0.0093, 5.5328, 0.0000], [-0.0429, -0.0018, 43.9744]], "species": ["Pd", "Pd", "Pd", "Pd", "Pd", "Pd", "Pd", "Pd", "Pd", "Pd", "In", "In", "Pd", "Pd", "Pd", "Pd", "Pd", "Pd", "Pd", "Pd", "Pd", "Pd", "Pd", "Pd", "Pd", "Pd", "Pd", "Pd", "Pd", "Pd", "Pd", "Pd"], "frac_coords": [[0.7495, 0.3754, 0.2573], [0.7499, 0.8748, 0.2566], [0.7502, 0.8740, 0.7882], [0.7503, 0.3746, 0.6099], [0.7500, 0.8753, 0.3454], [0.7499, 0.3748, 0.3458], [0.7500, 0.3751, 0.4344], [0.2498, 0.6238, 0.2116], [0.7499, 0.8754, 0.6987], [0.2502, 0.6250, 0.7427], [0.2508, 0.1247, 0.8350], [0.7493, 0.8748, 0.1650], [0.2502, 0.6255, 0.3013], [0.2500, 0.1247, 0.4781], [0.7501, 0.3752, 0.5219], [0.2498, 0.1261, 0.2117], [0.2498, 0.6248, 0.5657], [0.2501, 0.6247, 0.6542], [0.7499, 0.3746, 0.6988], [0.7501, 0.3754, 0.1656], [0.2501, 0.6250, 0.4781], [0.2501, 0.1253, 0.6546], [0.2498, 0.6253, 0.8345], [0.2501, 0.1248, 0.7433], [0.2500, 0.6249, 0.3901], [0.7500, 0.8749, 0.4342], [0.7502, 0.3766, 0.7883], [0.2500, 0.1247, 0.5657], [0.2501, 0.1250, 0.3901], [0.2500, 0.1241, 0.3012], [0.7503, 0.8753, 0.5218], [0.7497, 0.8755, 0.6099]]}



Energies relative to the minimum, meV/atom: model P 0; model Q 72; model R 31



Model P:
{"formula": "InPd2Pt2", "functional": "PBE-GGA", "state": "relaxed", "cell": [[-1.8576, 1.8576, 6.4849], [1.8576, -1.8576, 6.4849], [1.8576, 1.8576, -6.4849]], "species": ["Pd", "Pd", "In", "Pt", "Pt"], "frac_coords": [[0.4012, 0.4012, 0.0000], [0.5988, 0.5988, 0.0000], [0.0000, 0.0000, 0.0000], [0.2500, 0.7500, 0.5000], [0.7500, 0.2500, 0.5000]]}



Model Q:
{"formula": "InPd2Pt2", "functional": "PBE-GGA", "state": "relaxed", "cell": [[6.9606, 0.0000, 0.0000], [0.0000, 6.9606, 0.0000], [0.0000, 0.0000, 3.6404]], "species": ["In", "Pt", "Pd", "Pt", "Pd", "Pt", "Pt", "Pd", "Pd", "In"], "frac_coords": [[0.5000, 0.5000, 0.0000], [0.6361, 0.1361, 0.0000], [0.8390, 0.3390, 0.5000], [0.8639, 0.6361, 0.0000], [0.1610, 0.6610, 0.5000], [0.3639, 0.8639, 0.0000], [0.1361, 0.3639, 0.0000], [0.3390, 0.1610, 0.5000], [0.6610, 0.8390, 0.5000], [0.0000, 0.0000, 0.0000]]}



Energies relative to the minimum, meV/atom: model P 115; model Q 0